No. 1
# GGA-PBE ZrSb2Pb, relaxed
data_ZrSb2Pb
_symmetry_space_group_name_H-M 'P 1'
_symmetry_Int_Tables_number 1
_symmetry_space_group_name_Hall 'P 1'
_cell_length_a 3.766
_cell_length_b 3.766
_cell_length_c 7.619
_cell_angle_alpha 90.00
_cell_angle_beta 90.00
_cell_angle_gamma 90.00
loop_
_atom_site_label
_atom_site_type_symbol
_atom_site_fract_x
_atom_site_fract_y
_atom_site_fract_z
Zr1 Zr 0.000 0.000 0.000
Sb1 Sb 0.000 0.000 0.583
Sb2 Sb 0.500 0.500 0.844
Pb1 Pb 0.500 0.500 0.273
# VASP energy, eV for the cell shown: -20.9
# Formation energy (no corrections), kJ/mol of formula units: -35
# Magnetization, μB per formula unit: 0.000

***

No. 2
# GGA-PBE ZrSb2Pb, relaxed
data_ZrSb2Pb
_symmetry_space_group_name_H-M 'P 1'
_symmetry_Int_Tables_number 1
_symmetry_space_group_name_Hall 'P 1'
_cell_length_a 4.522
_cell_length_b 4.165
_cell_length_c 11.428
_cell_angle_alpha 90.00
_cell_angle_beta 90.00
_cell_angle_gamma 90.00
loop_
_atom_site_label
_atom_site_type_symbol
_atom_site_fract_x
_atom_site_fract_y
_atom_site_fract_z
Zr1 Zr 0.000 0.000 0.000
Zr2 Zr 0.000 0.500 0.500
Sb1 Sb 0.000 0.000 0.288
Sb2 Sb 0.000 0.500 0.788
Sb3 Sb 0.500 0.000 0.560
Sb4 Sb 0.500 0.500 0.060
Pb1 Pb 0.500 0.000 0.813
Pb2 Pb 0.500 0.500 0.313
# VASP energy, eV for the cell shown: -42.5
# Formation energy (no corrections), kJ/mol of formula units: -74
# Magnetization, μB per formula unit: 0.000